A relaxed LiSbHRu2 crystal. Source: Alexandria via LeMat-Bulk, functional PBE-GGA.

Summary:
**Size of the total moment**: 0.00 μB per formula unit
**Raw total energy**: -5.697 eV/atom

Lattice parameters (Å, degrees): 4.0824 4.0824 3.6773 90.00 90.00 90.00
Fractional coordinates of all 5 atoms:
Li (0.0000, 0.0000, 0.0000)
Sb (0.5000, 0.5000, 0.0000)
H (0.0000, 0.0000, 0.5000)
Ru (0.0000, 0.5000, 0.5000)
Ru (0.5000, 0.0000, 0.5000)